DFT (PBE) results for a geometry-optimized FeSbPdW2 structure.

Output
Uncorrected formation energy ... 2006 meV per atom

Lattice parameters (Å, degrees): 4.762 4.762 4.563 90.00 90.00 90.00
Each line ends with the local moment (μB).
Positions (direct):
W (0.500, 0.000, 0.000)  -0.26
W (0.000, 0.500, 0.000)  -0.26
Pd (0.000, 0.000, 0.000)  0.06
Fe (0.000, 0.000, 0.500)  -0.17
Sb (0.500, 0.500, 0.500)  0.01

***

DFT (PBE) results for a geometry-optimized LiSc4Zn structure.

Output
E_form ... 0.38 eV/atom

Lattice parameters (Å, degrees): 5.856 5.856 5.856 60.00 60.00 60.00
Positions (direct):
Sc (0.376, 0.376, 0.376)
Sc (0.376, 0.872, 0.376)
Zn (0.750, 0.750, 0.750)
Sc (0.872, 0.376, 0.376)
Sc (0.376, 0.376, 0.872)
Li (0.000, 0.000, 0.000)

***

It is found that the size of the total moment values, taken in the order of the records, are 0.8; 0.0 Bohr magnetons per cell.